Record 1
FeNiSb2 | PBE | optimized geometry

```
data_FeNiSb2
_chemical_formula_sum 'Fe1 Ni1 Sb2'
_space_group_name_H-M_alt 'P 1'
_space_group_IT_number 1
_cell_length_a 3.6564
_cell_length_b 3.6554
_cell_length_c 5.2767
_cell_angle_alpha 90.00
_cell_angle_beta 90.00
_cell_angle_gamma 90.00
loop_
_space_group_symop_operation_xyz
'x,y,z'
loop_
_atom_site_label
_atom_site_type_symbol
_atom_site_fract_x
_atom_site_fract_y
_atom_site_fract_z
_atom_site_occupancy
Fe1 Fe 0.0000 0.0000 0.4503 1
Ni1 Ni 0.5000 0.5000 0.8053 1
Sb1 Sb 0.0000 0.0000 0.9311 1
Sb2 Sb 0.5000 0.5000 0.3134 1
```

* D(E_F): 0.496 states/eV/atom
* energy above the lowest structure with this stoichiometry: 111 meV per atom



Record 2
FeNi15Sb4 | PBE | optimized geometry

```
data_FeNi15Sb4
_chemical_formula_sum 'Fe1 Ni15 Sb4'
_space_group_name_H-M_alt 'P 1'
_space_group_IT_number 1
_cell_length_a 3.7120
_cell_length_b 3.7120
_cell_length_c 18.3130
_cell_angle_alpha 90.00
_cell_angle_beta 90.00
_cell_angle_gamma 90.00
loop_
_space_group_symop_operation_xyz
'x,y,z'
loop_
_atom_site_label
_atom_site_type_symbol
_atom_site_fract_x
_atom_site_fract_y
_atom_site_fract_z
_atom_site_occupancy
Ni1 Ni 0.5000 0.0000 0.7041 1
Ni2 Ni 0.5000 0.0000 0.0906 1
Ni3 Ni 0.5000 0.0000 0.2959 1
Ni4 Ni 0.5000 0.5000 0.6018 1
Ni5 Ni 0.5000 0.5000 0.3982 1
Ni6 Ni 0.5000 0.0000 0.5000 1
Ni7 Ni 0.0000 0.5000 0.5000 1
Ni8 Ni 0.5000 0.5000 0.0000 1
Ni9 Ni 0.5000 0.0000 0.9094 1
Ni10 Ni 0.5000 0.5000 0.8045 1
Ni11 Ni 0.0000 0.5000 0.2959 1
Ni12 Ni 0.0000 0.5000 0.7041 1
Ni13 Ni 0.5000 0.5000 0.1955 1
Ni14 Ni 0.0000 0.5000 0.0906 1
Ni15 Ni 0.0000 0.5000 0.9094 1
Sb1 Sb 0.0000 0.0000 0.3974 1
Sb2 Sb 0.0000 0.0000 0.6026 1
Sb3 Sb 0.0000 0.0000 0.8082 1
Sb4 Sb 0.0000 0.0000 0.1918 1
Fe1 Fe 0.0000 0.0000 0.0000 1
```

* D(E_F): 0.668 states/eV/atom
* total energy: -5.7086 eV/atom



Record 3
FeNiSb2 | PBE | optimized geometry

```
data_FeNiSb2
_chemical_formula_sum 'Fe1 Ni1 Sb2'
_space_group_name_H-M_alt 'P 1'
_space_group_IT_number 1
_cell_length_a 3.2964
_cell_length_b 3.2920
_cell_length_c 7.1060
_cell_angle_alpha 62.63
_cell_angle_beta 90.00
_cell_angle_gamma 90.00
loop_
_space_group_symop_operation_xyz
'x,y,z'
loop_
_atom_site_label
_atom_site_type_symbol
_atom_site_fract_x
_atom_site_fract_y
_atom_site_fract_z
_atom_site_occupancy
Ni1 Ni 0.5000 0.7500 0.7500 1
Sb1 Sb 0.0000 0.5028 0.4987 1
Sb2 Sb 0.0000 0.9972 0.0013 1
Fe1 Fe 0.5000 0.2500 0.2500 1
```

* D(E_F): 1.029 states/eV/atom
* energy above the lowest structure with this stoichiometry: 233 meV per atom



Record 4
FeNi2Sb | PBE | optimized geometry

```
data_FeNi2Sb
_chemical_formula_sum 'Fe1 Ni2 Sb1'
_space_group_name_H-M_alt 'P 1'
_space_group_IT_number 1
_cell_length_a 4.5099
_cell_length_b 4.5099
_cell_length_c 4.5100
_cell_angle_alpha 129.00
_cell_angle_beta 129.00
_cell_angle_gamma 75.01
loop_
_space_group_symop_operation_xyz
'x,y,z'
loop_
_atom_site_label
_atom_site_type_symbol
_atom_site_fract_x
_atom_site_fract_y
_atom_site_fract_z
_atom_site_occupancy
Ni1 Ni 0.0000 0.0000 0.0000 1
Ni2 Ni 0.5000 0.5000 0.0000 1
Sb1 Sb 0.7500 0.2500 0.5000 1
Fe1 Fe 0.2500 0.7500 0.5000 1
```

* D(E_F): 1.346 states/eV/atom
* total energy: -6.0291 eV/atom



Record 5
FeNiSb2 | PBE | optimized geometry

```
data_FeNiSb2
_chemical_formula_sum 'Fe1 Ni1 Sb2'
_space_group_name_H-M_alt 'P 1'
_space_group_IT_number 1
_cell_length_a 4.5372
_cell_length_b 4.5372
_cell_length_c 4.5372
_cell_angle_alpha 60.00
_cell_angle_beta 60.00
_cell_angle_gamma 60.00
loop_
_space_group_symop_operation_xyz
'x,y,z'
loop_
_atom_site_label
_atom_site_type_symbol
_atom_site_fract_x
_atom_site_fract_y
_atom_site_fract_z
_atom_site_occupancy
Sb1 Sb 0.7500 0.7500 0.7500 1
Sb2 Sb 0.2500 0.2500 0.2500 1
Ni1 Ni 0.5000 0.5000 0.5000 1
Fe1 Fe 0.0000 0.0000 0.0000 1
```

* D(E_F): 0.992 states/eV/atom
* energy above the lowest structure with this stoichiometry: 325 meV per atom



Record 6
FeNi2Sb | PBE | optimized geometry

```
data_FeNi2Sb
_chemical_formula_sum 'Fe1 Ni2 Sb1'
_space_group_name_H-M_alt 'P 1'
_space_group_IT_number 1
_cell_length_a 3.2362
_cell_length_b 3.2362
_cell_length_c 5.3507
_cell_angle_alpha 90.00
_cell_angle_beta 90.00
_cell_angle_gamma 90.00
loop_
_space_group_symop_operation_xyz
'x,y,z'
loop_
_atom_site_label
_atom_site_type_symbol
_atom_site_fract_x
_atom_site_fract_y
_atom_site_fract_z
_atom_site_occupancy
Ni1 Ni 0.5000 0.5000 0.2382 1
Ni2 Ni 0.0000 0.0000 0.9909 1
Sb1 Sb 0.0000 0.0000 0.4860 1
Fe1 Fe 0.5000 0.5000 0.7848 1
```

* D(E_F): 1.029 states/eV/atom
* total energy: -5.8983 eV/atom



Record 7
Fe4Ni15Sb | PBE | optimized geometry

```
data_Fe4Ni15Sb
_chemical_formula_sum 'Fe4 Ni15 Sb1'
_space_group_name_H-M_alt 'P 1'
_space_group_IT_number 1
_cell_length_a 3.5933
_cell_length_b 3.5933
_cell_length_c 17.8308
_cell_angle_alpha 90.00
_cell_angle_beta 90.00
_cell_angle_gamma 90.00
loop_
_space_group_symop_operation_xyz
'x,y,z'
loop_
_atom_site_label
_atom_site_type_symbol
_atom_site_fract_x
_atom_site_fract_y
_atom_site_fract_z
_atom_site_occupancy
Fe1 Fe 0.0000 0.0000 0.2072 1
Fe2 Fe 0.0000 0.0000 0.5978 1
Fe3 Fe 0.0000 0.0000 0.7928 1
Fe4 Fe 0.0000 0.0000 0.4022 1
Ni1 Ni 0.0000 0.5000 0.8904 1
Ni2 Ni 0.5000 0.0000 0.3045 1
Ni3 Ni 0.5000 0.0000 0.1096 1
Ni4 Ni 0.5000 0.5000 0.4020 1
Ni5 Ni 0.5000 0.0000 0.5000 1
Ni6 Ni 0.5000 0.0000 0.6955 1
Ni7 Ni 0.5000 0.5000 0.2062 1
Ni8 Ni 0.0000 0.5000 0.6955 1
Ni9 Ni 0.5000 0.5000 0.7938 1
Ni10 Ni 0.5000 0.5000 0.0000 1
Ni11 Ni 0.5000 0.5000 0.5980 1
Ni12 Ni 0.0000 0.5000 0.5000 1
Ni13 Ni 0.5000 0.0000 0.8904 1
Ni14 Ni 0.0000 0.5000 0.3045 1
Ni15 Ni 0.0000 0.5000 0.1096 1
Sb1 Sb 0.0000 0.0000 0.0000 1
```

* D(E_F): 0.789 states/eV/atom
* total energy: -6.3205 eV/atom



Record 8
FeNi9Sb2 | PBE | optimized geometry

```
data_FeNi9Sb2
_chemical_formula_sum 'Fe1 Ni9 Sb2'
_space_group_name_H-M_alt 'P 1'
_space_group_IT_number 1
_cell_length_a 3.6870
_cell_length_b 3.6870
_cell_length_c 10.9255
_cell_angle_alpha 90.00
_cell_angle_beta 90.00
_cell_angle_gamma 90.00
loop_
_space_group_symop_operation_xyz
'x,y,z'
loop_
_atom_site_label
_atom_site_type_symbol
_atom_site_fract_x
_atom_site_fract_y
_atom_site_fract_z
_atom_site_occupancy
Ni1 Ni 0.5000 0.5000 0.3306 1
Ni2 Ni 0.0000 0.5000 0.8462 1
Ni3 Ni 0.5000 0.0000 0.1538 1
Ni4 Ni 0.5000 0.5000 0.0000 1
Ni5 Ni 0.5000 0.0000 0.5000 1
Ni6 Ni 0.5000 0.0000 0.8462 1
Ni7 Ni 0.0000 0.5000 0.1538 1
Ni8 Ni 0.0000 0.5000 0.5000 1
Ni9 Ni 0.5000 0.5000 0.6694 1
Sb1 Sb 0.0000 0.0000 0.3253 1
Sb2 Sb 0.0000 0.0000 0.6747 1
Fe1 Fe 0.0000 0.0000 0.0000 1
```

* D(E_F): 0.651 states/eV/atom
* total energy: -5.8422 eV/atom